Entry 1:
First-principles (GGA-PBEsol) data for a relaxed SbOF crystal, as listed in the Alexandria database.

Values from the calculation:
Spin magnetization, μB/f.u.: 0.0
Total energy, eV/atom: -5.670

Cell lengths 5.306, 10.807, 13.403 Å; angles 90.00, 90.00, 90.00 degrees
Positions (direct):
1 Sb 0.672 0.115 0.719
2 Sb 0.229 0.152 0.451
3 Sb 0.771 0.848 0.549
4 Sb 0.771 0.348 0.951
5 Sb 0.328 0.885 0.281
6 Sb 0.271 0.652 0.549
7 Sb 0.328 0.385 0.219
8 Sb 0.229 0.652 0.049
9 Sb 0.729 0.348 0.451
10 Sb 0.828 0.115 0.219
11 Sb 0.172 0.385 0.719
12 Sb 0.828 0.615 0.281
13 Sb 0.729 0.848 0.049
14 Sb 0.271 0.152 0.951
15 Sb 0.172 0.885 0.781
16 Sb 0.672 0.615 0.781
17 O 0.609 0.464 0.301
18 O 0.109 0.036 0.301
19 O 0.891 0.464 0.801
20 O 0.535 0.714 0.121
21 O 0.035 0.286 0.379
22 O 0.965 0.714 0.621
23 O 0.535 0.214 0.379
24 O 0.035 0.786 0.121
25 O 0.965 0.214 0.879
26 O 0.465 0.786 0.621
27 O 0.609 0.964 0.199
28 O 0.109 0.536 0.199
29 O 0.465 0.286 0.879
30 O 0.891 0.964 0.699
31 O 0.391 0.536 0.699
32 O 0.391 0.036 0.801
33 F 0.523 0.456 0.106
34 F 0.345 0.788 0.943
35 F 0.845 0.212 0.557
36 F 0.977 0.956 0.894
37 F 0.477 0.044 0.606
38 F 0.977 0.456 0.606
39 F 0.023 0.044 0.106
40 F 0.845 0.712 0.943
41 F 0.655 0.212 0.057
42 F 0.155 0.788 0.443
43 F 0.345 0.288 0.557
44 F 0.655 0.712 0.443
45 F 0.477 0.544 0.894
46 F 0.155 0.288 0.057
47 F 0.523 0.956 0.394
48 F 0.023 0.544 0.394



Entry 2:
First-principles (GGA-PBEsol) data for a relaxed Sb2OF8 crystal, as listed in the Alexandria database.

Values from the calculation:
Spin magnetization, μB/f.u.: 0.0
Total energy, eV/atom: -4.774

Cell lengths 5.248, 9.773, 14.317 Å; angles 106.40, 90.00, 90.00 degrees
Positions (direct):
1 F 0.455 0.852 0.193
2 F 0.389 0.557 0.109
3 F 0.545 0.852 0.693
4 F 0.886 0.000 0.250
5 F 0.196 0.621 0.299
6 F 0.114 0.000 0.750
7 F 0.098 0.420 0.554
8 F 0.634 0.261 0.495
9 F 0.455 0.148 0.307
10 F 0.065 0.896 0.068
11 F 0.366 0.739 0.505
12 F 0.382 0.961 0.902
13 F 0.098 0.580 0.946
14 F 0.611 0.443 0.891
15 F 0.798 0.500 0.250
16 F 0.618 0.039 0.098
17 F 0.804 0.379 0.701
18 F 0.545 0.148 0.807
19 F 0.389 0.443 0.391
20 F 0.935 0.896 0.568
21 F 0.935 0.104 0.932
22 F 0.366 0.261 0.995
23 F 0.902 0.420 0.054
24 F 0.618 0.961 0.402
25 F 0.804 0.621 0.799
26 F 0.611 0.557 0.609
27 F 0.202 0.500 0.750
28 F 0.902 0.580 0.446
29 F 0.065 0.104 0.432
30 F 0.196 0.379 0.201
31 F 0.382 0.039 0.598
32 F 0.634 0.739 0.005
33 Sb 0.254 0.128 0.880
34 Sb 0.062 0.553 0.158
35 Sb 0.746 0.872 0.120
36 Sb 0.746 0.128 0.380
37 Sb 0.938 0.553 0.658
38 Sb 0.062 0.447 0.342
39 Sb 0.938 0.447 0.842
40 Sb 0.254 0.872 0.620
41 O 0.104 0.726 0.678
42 O 0.896 0.726 0.178
43 O 0.104 0.274 0.822
44 O 0.896 0.274 0.322



Entry 3:
First-principles (GGA-PBEsol) data for a relaxed SbSe2OF crystal, as listed in the Alexandria database.

Values from the calculation:
Spin magnetization, μB/f.u.: 0.0
Total energy, eV/atom: -3.914

Cell lengths 4.282, 4.282, 4.788 Å; angles 90.00, 90.00, 90.00 degrees
Positions (direct):
1 F 0.500 0.500 0.500
2 Se 0.500 0.000 0.000
3 Se 0.000 0.500 0.000
4 O 0.000 0.000 0.000
5 Sb 0.000 0.000 0.500



Entry 4:
First-principles (GGA-PBEsol) data for a relaxed Sr2Ti2Sb2OF2 crystal, as listed in the Alexandria database.

Values from the calculation:
Spin magnetization, μB/f.u.: 0.0
Total energy, eV/atom: -6.561

Cell lengths 4.059, 4.059, 10.861 Å; angles 100.77, 100.77, 90.00 degrees
Positions (direct):
1 O 0.500 0.500 0.000
2 Sr 0.317 0.317 0.633
3 Sr 0.683 0.683 0.367
4 Sb 0.904 0.904 0.808
5 Sb 0.096 0.096 0.192
6 F 0.750 0.250 0.500
7 F 0.250 0.750 0.500
8 Ti 0.500 0.000 0.000
9 Ti 0.000 0.500 0.000



Entry 5:
First-principles (GGA-PBEsol) data for a relaxed Sb2TeOF crystal, as listed in the Alexandria database.

Values from the calculation:
Spin magnetization, μB/f.u.: 0.0
Total energy, eV/atom: -4.144

Cell lengths 4.667, 4.682, 4.682 Å; angles 90.00, 90.00, 90.00 degrees
Positions (direct):
1 Te 0.500 0.000 0.000
2 Sb 0.000 0.000 0.500
3 Sb 0.000 0.500 0.000
4 F 0.500 0.500 0.500
5 O 0.000 0.000 0.000



Entry 6:
First-principles (GGA-PBEsol) data for a relaxed SbTeO2F crystal, as listed in the Alexandria database.

Values from the calculation:
Spin magnetization, μB/f.u.: 0.5
Total energy, eV/atom: -4.734

Cell lengths 4.228, 4.228, 4.307 Å; angles 90.00, 90.00, 90.00 degrees
Each line ends with the local moment (μB).
Positions (direct):
1 Te 0.500 0.500 0.500  0.24
2 O 0.000 0.500 0.000  0.04
3 O 0.500 0.000 0.000  0.04
4 F 0.000 0.000 0.500  0.02
5 Sb 0.000 0.000 0.000  0.00